Y2MnNi | meta-GGA SCAN | PBEsol geometry

```
4
Lattice="0.0000 3.3273 3.3273 3.3273 0.0000 3.3273 3.3273 3.3273 0.0000" Properties=species:S:1:pos:R:3 pbc="T T T"
Y 0.0000 0.0000 0.0000
Y 1.6636 1.6636 1.6636
Mn 4.9909 4.9909 4.9909
Ni 3.3273 3.3273 3.3273
```

Results
volume = 73.7 Å³ per cell
DOS(E_F) = 0.775 states/eV/atom
size of the total moment = 4.7 μB/f.u.
formation enthalpy at 0 K = 72 meV per atom
VASP energy = -89.8 eV/cell

HgP2Pd2 | meta-GGA SCAN | PBEsol geometry

```
5
Lattice="-2.1604 2.1604 4.3919 2.1604 -2.1604 4.3919 2.1604 2.1604 -4.3919" Properties=species:S:1:pos:R:3 pbc="T T T"
Hg 0.0000 0.0000 0.0000
P 0.0000 0.0000 3.3044
P 0.0000 0.0000 5.4794
Pd 2.1604 0.0000 2.1960
Pd 0.0000 2.1604 2.1960
```

Results
volume = 82.0 Å³ per cell
DOS(E_F) = 0.519 states/eV/atom
size of the total moment = 0.0 μB/f.u.
formation enthalpy at 0 K = -131 meV per atom
VASP energy = -155.2 eV/cell

BaCe2O4 | meta-GGA SCAN | PBEsol geometry

```
28
Lattice="10.2164 0.0000 0.0000 0.0000 3.6091 0.0000 0.0000 0.0000 12.3646" Properties=species:S:1:pos:R:3 pbc="T T T"
Ba 2.4893 0.9023 1.8307
Ba 2.6189 2.7068 8.0130
Ba 7.5975 0.9023 4.3516
Ba 7.7271 2.7068 10.5339
Ce 0.7171 2.7068 4.7714
Ce 0.9752 2.7068 11.0706
Ce 4.1330 0.9023 4.8883
Ce 4.3911 0.9023 10.9537
Ce 5.8253 2.7068 1.4109
Ce 6.0833 2.7068 7.4763
Ce 9.2412 0.9023 1.2940
Ce 9.4993 0.9023 7.5932
O 0.0542 0.9023 3.4819
O 0.5799 2.7068 0.9769
O 1.3379 0.9023 6.2659
O 2.2740 0.9023 10.1323
O 2.8341 2.7068 3.9500
O 3.7702 2.7068 0.0836
O 4.5283 0.9023 7.1592
O 5.0540 2.7068 9.6642
O 5.1623 0.9023 2.7004
O 5.6881 2.7068 5.2054
O 6.4461 0.9023 12.2810
O 7.3822 0.9023 8.4146
O 7.9423 2.7068 2.2323
O 8.8784 2.7068 6.0987
O 9.6365 0.9023 11.3877
O 10.1622 2.7068 8.8827
```

Results
volume = 455.9 Å³ per cell
DOS(E_F) = 0.452 states/eV/atom
size of the total moment = 2.0 μB/f.u.
VASP energy = -709.7 eV/cell
raw formation energy = -3401 meV/atom

BiTeRhN2 | meta-GGA SCAN | PBEsol geometry

```
5
Lattice="4.1604 0.0000 0.0000 0.0000 4.1604 0.0000 0.0000 0.0000 6.2720" Properties=species:S:1:pos:R:3 pbc="T T T"
Bi 0.0000 0.0000 0.0000
Te 0.0000 0.0000 3.1360
Rh 2.0802 2.0802 3.1360
N 0.0000 2.0802 0.0000
N 2.0802 0.0000 0.0000
```

Results
volume = 108.6 Å³ per cell
DOS(E_F) = 0.801 states/eV/atom
size of the total moment = 3.5 μB/f.u.
VASP energy = -158.8 eV/cell
raw formation energy = 1874 meV/atom